Entry 1:
Below is a geometry-optimized Ba2Cd4In3Ag structure, with properties calculated at the GGA-PBE level.

Output
V (Å³/cell): 293.3
Density of states at the Fermi level (states/eV per cell): 5.76
Formation energy from the elements (eV per formula unit): -2.92
Mass density (g/cm3): 6.7

a = 5.0242 Å, b = 5.0242 Å, c = 11.6189 Å
α = 90.00°, β = 90.00°, γ = 90.00°
Closest atoms and distances in Å follow each position.
Space group P-4m2 (No. 115)
One atom of each set of equivalent atoms:
1 Ba 0.0000 0.5000 0.2472 [2 per cell]  6 In 3.81-3.82, 2 Ag 3.82, 8 Cd 3.84-3.87
2 Cd 0.0000 0.0000 0.5000 [1 per cell]  4 In 2.96
3 Cd 0.0000 0.5000 0.8792 [2 per cell]  3 In 2.84-2.88, 2 Ag 2.88
4 Cd 0.5000 0.5000 0.5000 [1 per cell]  4 In 2.96
5 In 0.0000 0.0000 0.0000 [1 per cell]  4 Cd 2.88
6 In 0.0000 0.5000 0.6347 [2 per cell]  5 Cd 2.84-2.96
7 Ag 0.5000 0.5000 0.0000 [1 per cell]  4 Cd 2.88

Entry 2:
Below is a geometry-optimized CaTc2As structure, with properties calculated at the GGA-PBE level.

Output
V (Å³/cell): 71.8
Density of states at the Fermi level (states/eV per cell): 4.00
Formation energy from the elements (eV per formula unit): 1.12
Mass density (g/cm3): 7.2

a = 3.2124 Å, b = 3.2124 Å, c = 6.9551 Å
α = 90.00°, β = 90.00°, γ = 90.00°
Closest atoms and distances in Å follow each position.
Space group P4/mmm (No. 123)
One atom of each set of equivalent atoms:
1 Ca 0.0000 0.0000 0.0000 [1 per cell]  8 Tc 3.15, 4 Ca 3.21, 2 As 3.48
2 Tc 0.5000 0.5000 0.3131 [2 per cell]  1 Tc 2.60, 4 As 2.62
3 As 0.0000 0.0000 0.5000 [1 per cell]  8 Tc 2.62

Entry 3:
Below is a geometry-optimized Tc2ICl8 structure, with properties calculated at the GGA-PBE level.

Output
V (Å³/cell): 758.7
Uncorrected formation energy (meV per atom): -477
Density of states at the Fermi level (states/eV per cell): 20.52
Mass density (g/cm3): 2.7

a = 7.9380 Å, b = 11.3973 Å, c = 8.4348 Å
α = 90.00°, β = 96.16°, γ = 90.00°
Closest atoms and distances in Å follow each position.
Space group C2/m (No. 12)
One atom of each set of equivalent atoms:
1 Tc 0.1223 0.0000 0.1987 [4 per cell]  4 Cl 2.24-2.39
2 I 0.0000 0.0000 0.5000 [2 per cell]  2 Tc 2.82
3 Cl 0.0993 0.1999 0.1931 [8 per cell]  1 Tc 2.29
4 Cl 0.1031 0.5000 0.7048 [4 per cell]  1 Tc 2.24
5 Cl 0.1842 0.0000 0.9277 [4 per cell]  2 Tc 2.39-2.55

- Which of these has the lowest mass density?
  Tc2ICl8